1.
HfTi2Br after structural relaxation. Source: Alexandria, functional PBE-GGA.

Results
Calculated volume = 19.97 Å³ per atom
Raw formation energy = 1.3 eV/f.u.
Polymorph energy (0 for the lowest one) = 0.000 eV/atom
Crystal system = tetragonal
Spin magnetization = 0.00 μB per cell
N(E_F) = 19.84 states/eV/cell

Lattice parameters (Å, degrees): 7.775 7.775 5.287 90.00 90.00 90.00
Space group I-42d (No. 122)
Unique sites:
Hf 0.000 0.000 0.000 x4
Ti 0.187 0.250 0.625 x8
Br 0.000 0.000 0.500 x4

---

2.
ScIr2Pb after structural relaxation. Source: Alexandria, functional PBE-GGA.

Results
Calculated volume = 18.80 Å³ per atom
E = -6.989 eV/atom
Crystal system = trigonal
Spin magnetization = 0.00 μB per cell
N(E_F) = 12.68 states/eV/cell

Lattice parameters (Å, degrees): 3.1040 3.1040 27.0351 90.00 90.00 120.00
Space group R-3m (No. 166, hexagonal axes)
Unique sites:
Sc 0.0000 0.0000 0.0000 x3
Ir 0.0000 0.0000 0.2583 x6
Pb 0.0000 0.0000 0.5000 x3

---

3.
CsPIrO after structural relaxation. Source: Alexandria, functional PBE-GGA.

Results
Calculated volume = 21.94 Å³ per atom
Raw formation energy = -3.7 eV/f.u.
Polymorph energy (0 for the lowest one) = 0.000 eV/atom
Crystal system = trigonal
Spin magnetization = 0.00 μB per cell
N(E_F) = 1.79 states/eV/cell

Lattice parameters (Å, degrees): 3.7199 3.7199 21.9736 90.00 90.00 120.00
Space group R3m (No. 160, hexagonal axes)
Unique sites:
Cs 0.0000 0.0000 0.0000 x3
P 0.0000 0.0000 0.8228 x3
Ir 0.0000 0.0000 0.1926 x3
O 0.0000 0.0000 0.7518 x3

---

4.
Pm2NpH12Rh3 after structural relaxation. Source: Alexandria, functional PBE-GGA.

Results
Calculated volume = 9.98 Å³ per atom
E = -4.966 eV/atom
Crystal system = trigonal
Spin magnetization = 11.30 μB per cell
N(E_F) = 34.19 states/eV/cell

Lattice parameters (Å, degrees): 6.5443 6.5443 14.5235 90.00 90.00 120.00
Space group R-3m (No. 166, hexagonal axes)
Unique sites:
Pm 0.0000 0.0000 0.1160 x6
Np 0.0000 0.0000 0.5000 x3
H 0.0401 0.5201 0.8823 x18
H 0.0577 0.5289 0.3114 x18
Rh 0.0000 0.5000 0.0000 x9

---

5.
Al3TeF after structural relaxation. Source: Alexandria, functional PBE-GGA.

Results
Calculated volume = 21.34 Å³ per atom
Raw formation energy = -1.2 eV/f.u.
Polymorph energy (0 for the lowest one) = 0.000 eV/atom
Crystal system = cubic
Spin magnetization = 0.00 μB per cell
N(E_F) = 0.81 states/eV/cell

Lattice parameters (Å, degrees): 4.743 4.743 4.743 90.00 90.00 90.00
Space group Pm-3m (No. 221)
Unique sites:
Al 0.000 0.000 0.500 x3
Te 0.500 0.500 0.500 x1
F 0.000 0.000 0.000 x1

---

6.
CuSi2 after structural relaxation. Source: Alexandria, functional PBE-GGA.

Results
Calculated volume = 14.55 Å³ per atom
Raw formation energy = 1.1 eV/f.u.
Crystal system = trigonal
Spin magnetization = 0.00 μB per cell
N(E_F) = 4.27 states/eV/cell

Lattice parameters (Å, degrees): 3.0535 3.0535 16.2229 90.00 90.00 120.00
Space group R-3m (No. 166, hexagonal axes)
Unique sites:
Cu 0.0000 0.0000 0.0000 x3
Si 0.0000 0.0000 0.2214 x6

---

7.
NaCe3Sm2Te6 after structural relaxation. Source: Alexandria, functional PBE-GGA.

Results
Calculated volume = 31.91 Å³ per atom
Raw formation energy = -16.2 eV/f.u.
Crystal system = monoclinic
Spin magnetization = 7.05 μB per cell
N(E_F) = 46.25 states/eV/cell

Lattice parameters (Å, degrees): 19.584 4.463 9.005 90.00 103.33 90.00
Space group C2/m (No. 12)
Unique sites:
Na 0.000 0.000 0.000 x2
Ce 0.000 0.000 0.500 x2
Ce 0.166 0.500 0.833 x4
Sm 0.169 0.500 0.340 x4
Te 0.003 0.500 0.249 x4
Te 0.166 0.000 0.088 x4
Te 0.166 0.000 0.584 x4

---

8.
LiHOsS2 after structural relaxation. Source: Alexandria, functional PBE-GGA.

Results
Calculated volume = 11.05 Å³ per atom
E = -4.574 eV/atom
Crystal system = tetragonal
Spin magnetization = 0.00 μB per cell
N(E_F) = 2.48 states/eV/cell

Lattice parameters (Å, degrees): 4.247 4.247 3.062 90.00 90.00 90.00
Space group P4/mmm (No. 123)
Unique sites:
Li 0.000 0.000 0.000 x1
H 0.000 0.000 0.500 x1
Os 0.500 0.500 0.000 x1
S 0.000 0.500 0.500 x2

---

9.
TbInSn2S5 after structural relaxation. Source: Alexandria, functional PBE-GGA.

Results
Calculated volume = 26.25 Å³ per atom
Raw formation energy = -8.0 eV/f.u.
Crystal system = orthorhombic
Spin magnetization = 0.00 μB per cell
N(E_F) = 0.00 states/eV/cell

Lattice parameters (Å, degrees): 3.956 18.200 13.127 90.00 90.00 90.00
Space group Cmc2_1 (No. 36)
Unique sites:
Tb 0.000 0.196 0.000 x4
In 0.000 0.458 0.412 x4
Sn 0.000 0.134 0.300 x4
Sn 0.000 0.148 0.641 x4
S 0.000 0.040 0.028 x4
S 0.000 0.294 0.648 x4
S 0.000 0.323 0.358 x4
S 0.000 0.346 0.001 x4
S 0.000 0.465 0.760 x4

---

10.
CaCuSb after structural relaxation. Source: Alexandria, functional PBE-GGA.

Results
Calculated volume = 23.62 Å³ per atom
Raw formation energy = -0.7 eV/f.u.
Crystal system = orthorhombic
Spin magnetization = 0.00 μB per cell
N(E_F) = 10.89 states/eV/cell

Lattice parameters (Å, degrees): 5.175 5.182 10.571 90.00 90.00 90.00
Space group Fmm2 (No. 42)
Unique sites:
Ca 0.000 0.000 0.000 x4
Cu 0.000 0.000 0.695 x4
Sb 0.000 0.000 0.296 x4

---

11.
Ga2PtF after structural relaxation. Source: Alexandria, functional PBE-GGA.

Results
Calculated volume = 15.04 Å³ per atom
Raw formation energy = -3.2 eV/f.u.
Crystal system = cubic
Spin magnetization = 0.00 μB per cell
N(E_F) = 6.32 states/eV/cell

Lattice parameters (Å, degrees): 6.220 6.220 6.220 90.00 90.00 90.00
Space group Fm-3m (No. 225)
Unique sites:
Ga 0.250 0.250 0.250 x8
Pt 0.000 0.000 0.000 x4
F 0.000 0.000 0.500 x4

---

12.
AlAgP2O after structural relaxation. Source: Alexandria, functional PBE-GGA.

Results
Calculated volume = 18.57 Å³ per atom
Raw formation energy = 4.2 eV/f.u.
Polymorph energy (0 for the lowest one) = 0.970 eV/atom
Crystal system = tetragonal
Spin magnetization = 0.00 μB per cell
N(E_F) = 4.89 states/eV/cell

Lattice parameters (Å, degrees): 4.881 4.881 3.898 90.00 90.00 90.00
Space group P4/mmm (No. 123)
Unique sites:
Al 0.000 0.000 0.000 x1
Ag 0.500 0.500 0.500 x1
P 0.000 0.500 0.500 x2
O 0.500 0.500 0.000 x1